i:
Sn3PbS4 after structural relaxation, computed with PBE-GGA.

Lattice parameters (Å, degrees): 7.743 11.394 5.903 90.00 90.00 90.00
Fractional coordinates of all 16 atoms:
Sn: 0.000 0.156 0.000
Sn: 0.247 0.343 0.503
Sn: 0.253 0.657 0.003
Sn: 0.500 0.844 0.500
Sn: 0.747 0.657 0.003
Sn: 0.753 0.343 0.503
Pb: 0.000 0.854 0.488
Pb: 0.500 0.146 0.988
S: 0.000 0.184 0.463
S: 0.000 0.810 0.972
S: 0.245 0.310 0.963
S: 0.255 0.690 0.463
S: 0.500 0.190 0.472
S: 0.500 0.816 0.963
S: 0.745 0.690 0.463
S: 0.755 0.310 0.963

Calculated values
magnetization	0.0	μB per cell

ii:
Sn3PbS4 after structural relaxation, computed with PBE-GGA.

Lattice parameters (Å, degrees): 6.372 4.123 8.334 90.00 111.36 90.00
Fractional coordinates of all 8 atoms:
Sn: 0.000 0.000 0.000
Sn: 0.039 0.500 0.554
Sn: 0.552 0.500 0.054
Pb: 0.484 0.000 0.503
S: 0.260 0.500 0.209
S: 0.306 0.000 0.854
S: 0.767 0.500 0.720
S: 0.806 0.000 0.351

Calculated values
magnetization	0.0	μB per cell

Most stable: ii. Least stable: i.

i:
Sn2PbS2 after structural relaxation, computed with PBE-GGA.

Lattice parameters (Å, degrees): 6.020 6.020 6.020 126.13 126.13 79.67
Fractional coordinates of all 5 atoms:
Sn: 0.166 0.166 0.000
Sn: 0.834 0.834 0.000
Pb: 0.500 0.500 0.000
S: 0.250 0.750 0.500
S: 0.750 0.250 0.500

Calculated values
magnetization	0.0	μB per cell

ii:
Sn2PbS2 after structural relaxation, computed with PBE-GGA.

Lattice parameters (Å, degrees): 8.131 8.131 4.075 90.00 90.00 90.00
Fractional coordinates of all 10 atoms:
Sn: 0.176 0.324 0.000
Sn: 0.324 0.824 0.000
Sn: 0.676 0.176 0.000
Sn: 0.824 0.676 0.000
Pb: 0.000 0.000 0.500
Pb: 0.500 0.500 0.500
S: 0.169 0.669 0.500
S: 0.331 0.169 0.500
S: 0.669 0.831 0.500
S: 0.831 0.331 0.500

Calculated values
magnetization	0.0	μB per cell

Most stable: ii. Least stable: i.